Density functional theory data (PBE) for a relaxed TaCrSi3 crystal.

Output
uncorrected formation energy	0.948	eV per atom
calculated volume	22.91	Å³ per atom

Cell and atoms, written as extended XYZ:
```
5
Lattice="4.8562 0.0000 0.0000 0.0000 4.8562 0.0000 0.0000 0.0000 4.8562" Properties=species:S:1:pos:R:3 pbc="T T T"
Ta 0.0000 0.0000 0.0000
Cr 2.4281 2.4281 2.4281
Si 0.0000 0.0000 2.4281
Si 0.0000 2.4281 0.0000
Si 2.4281 0.0000 0.0000
```